Below is a geometry-optimized Cs3RbHg2F9 structure, with properties calculated at the PBE-GGA level.

The structure in POSCAR format:
```
Cs3RbHg2F9
1.0
-1.541 -3.682 5.423
3.931 -2.584 -4.817
6.813 2.982 3.961
F Cs Rb Hg
9 3 1 2
direct
0.000 0.500 0.000
0.176 0.353 0.301
0.176 0.824 0.301
0.500 0.000 0.000
0.647 0.824 0.301
0.824 0.647 0.699
0.824 0.176 0.699
0.353 0.176 0.699
0.500 0.500 0.000
0.000 0.000 0.000
0.667 0.333 0.331
0.333 0.667 0.669
0.000 0.000 0.500
0.667 0.333 0.848
0.333 0.667 0.152
```

The calculation puts the formation energy from raw total energies at -2.11 eV/atom. Its uncorrected energy is -0.129 hartree per atom. As for the symmetry: P-3m1 (164). The value obtained for the theoretical density is 5.3 g/cm³.

***

Below is a geometry-optimized CeURu4 structure, with properties calculated at the PBE-GGA level.

The structure in POSCAR format:
```
CeURu4
1.0
3.995 0.000 0.000
0.000 6.961 0.000
0.000 0.000 7.753
Ce Ru U
2 8 2
direct
0.000 0.648 0.750
0.000 0.352 0.250
0.500 0.309 0.962
0.500 0.937 0.750
0.000 0.000 0.000
0.500 0.309 0.538
0.000 0.000 0.500
0.500 0.691 0.462
0.500 0.063 0.250
0.500 0.691 0.038
0.000 0.236 0.750
0.000 0.764 0.250
```

Its uncorrected energy is -0.338 hartree per atom. The value obtained for the polymorph energy (0 for the lowest one) is 25.4 meV per atom. As for the symmetry: Pmma (51). The value obtained for the theoretical density is 12.1 g/cm³.

***

Below is a geometry-optimized LiNi2Cl structure, with properties calculated at the PBE-GGA level.

The structure in POSCAR format:
```
LiNi2Cl
1.0
-3.510 0.834 -0.957
-1.754 0.195 -3.289
-3.365 -5.575 -1.006
Ni Cl Li
2 1 1
direct
0.039 0.039 0.963
0.804 0.804 0.797
0.440 0.440 0.474
0.217 0.217 0.266
```

The calculation puts the formation energy from raw total energies at -0.06 eV/atom. Its uncorrected energy is -0.143 hartree per atom. The value obtained for the polymorph energy (0 for the lowest one) is 147.9 meV per atom. As for the symmetry: Cm (8). The value obtained for the theoretical density is 4.2 g/cm³.

***

Below is a geometry-optimized Tm6N5 structure, with properties calculated at the PBE-GGA level.

The structure in POSCAR format:
```
Tm6N5
1.0
5.858 0.213 -0.838
1.423 5.005 -2.825
-0.155 -0.121 5.912
Tm N
6 5
direct
0.747 0.431 0.347
0.747 0.085 0.653
0.253 0.915 0.347
0.261 0.260 0.000
0.253 0.569 0.653
0.739 0.740 0.000
0.500 0.832 0.663
0.000 0.334 0.667
0.000 0.666 0.333
0.500 0.168 0.337
0.500 0.500 0.000
```

The calculation puts the formation energy from raw total energies at -1.66 eV/atom. Its uncorrected energy is -0.290 hartree per atom. As for the symmetry: C2/m (12). The value obtained for the theoretical density is 10.6 g/cm³.

***

Below is a geometry-optimized PmCuTeO structure, with properties calculated at the PBE-GGA level.

The structure in POSCAR format:
```
PmCuTeO
1.0
-2.787 -1.166 2.763
-2.338 -1.518 -2.999
4.327 -8.335 0.847
O Cu Pm Te
2 2 2 2
direct
0.500 0.500 0.500
0.000 0.000 0.500
0.000 0.000 0.000
0.500 0.500 0.000
0.500 0.000 0.621
0.000 0.500 0.379
0.500 0.000 0.181
0.000 0.500 0.819
```

The calculation puts the formation energy from raw total energies at -1.81 eV/atom. Its uncorrected energy is -0.222 hartree per atom. As for the symmetry: P4/nmm (129). The value obtained for the theoretical density is 7.4 g/cm³.

***

Below is a geometry-optimized TcIr4 structure, with properties calculated at the PBE-GGA level.

The structure in POSCAR format:
```
TcIr4
1.0
-2.841 2.841 2.841
2.841 -2.841 2.841
2.841 2.841 -2.841
Ir Tc
4 1
direct
0.000 0.000 0.500
0.000 0.500 0.000
0.500 0.000 0.000
0.500 0.500 0.500
0.000 0.000 0.000
```

Its uncorrected energy is -0.296 hartree per atom. The value obtained for the polymorph energy (0 for the lowest one) is 1225.2 meV per atom. As for the symmetry: Im-3m (229). The value obtained for the theoretical density is 15.7 g/cm³.

***

Below is a geometry-optimized HoTeO structure, with properties calculated at the PBE-GGA level.

The structure in POSCAR format:
```
HoTeO
1.0
-0.484 3.510 0.741
-2.814 -2.275 0.098
1.159 -1.164 6.271
O Te Ho
1 1 1
direct
0.333 0.667 0.519
0.000 0.000 0.049
0.667 0.333 0.432
```

The calculation puts the formation energy from raw total energies at -2.19 eV/atom. Its uncorrected energy is -0.236 hartree per atom. As for the symmetry: P3m1 (156). The value obtained for the theoretical density is 7.0 g/cm³.

***

Below is a geometry-optimized KSr2BeSi structure, with properties calculated at the PBE-GGA level.

The structure in POSCAR format:
```
KSr2BeSi
1.0
-0.902 -3.701 4.892
4.687 0.040 0.894
-0.735 4.974 3.627
Sr Be Si K
2 1 1 1
direct
0.500 0.000 0.000
0.000 0.000 0.500
0.000 0.500 0.000
0.500 0.500 0.500
0.000 0.000 0.000
```

The calculation puts the formation energy from raw total energies at 1.34 eV/atom. Its uncorrected energy is -0.051 hartree per atom. As for the symmetry: P4/mmm (123). The value obtained for the theoretical density is 2.3 g/cm³.

***

Below is a geometry-optimized HgTeRh2W structure, with properties calculated at the PBE-GGA level.

The structure in POSCAR format:
```
HgTeRh2W
1.0
4.937 0.000 0.000
0.000 5.074 0.000
0.000 0.000 4.937
Hg Rh Te W
1 2 1 1
direct
0.000 0.000 0.000
0.000 0.000 0.500
0.500 0.000 0.000
0.500 0.500 0.500
0.000 0.500 0.000
```

The calculation puts the formation energy from raw total energies at 1.96 eV/atom. Its uncorrected energy is -0.157 hartree per atom. As for the symmetry: P4/mmm (123). The value obtained for the theoretical density is 9.6 g/cm³.

***

Below is a geometry-optimized K2NaLiTl structure, with properties calculated at the PBE-GGA level.

The structure in POSCAR format:
```
K2NaLiTl
1.0
-3.640 4.519 2.808
-5.207 -3.722 -0.761
0.912 -2.262 4.824
Tl K Li Na
1 2 1 1
direct
0.000 0.000 0.500
0.000 0.500 0.000
0.500 0.000 0.000
0.000 0.000 0.000
0.500 0.500 0.500
```

Its uncorrected energy is -0.054 hartree per atom. As for the symmetry: P4/mmm (123). The value obtained for the theoretical density is 2.3 g/cm³.

***

Below is a geometry-optimized TlMoSe2 structure, with properties calculated at the PBE-GGA level.

The structure in POSCAR format:
```
TlMoSe2
1.0
3.434 0.000 0.000
0.000 3.437 -0.014
0.000 0.036 8.185
Se Tl Mo
2 1 1
direct
0.000 0.750 0.528
0.000 0.750 0.972
0.500 0.250 0.250
0.500 0.750 0.750
```

The calculation puts the formation energy from raw total energies at 0.05 eV/atom. Its uncorrected energy is -0.183 hartree per atom. As for the symmetry: Pmmm (47). The value obtained for the theoretical density is 7.9 g/cm³.

***

Below is a geometry-optimized SmS6F2 structure, with properties calculated at the PBE-GGA level.

The structure in POSCAR format:
```
SmS6F2
1.0
-0.509 -0.984 3.493
-0.135 -7.482 -2.635
7.987 3.580 1.031
S F Sm
6 2 1
direct
0.951 0.467 0.757
0.837 0.211 0.573
0.840 0.663 0.675
0.049 0.533 0.243
0.163 0.789 0.427
0.160 0.337 0.325
0.492 0.110 0.920
0.508 0.890 0.080
0.000 0.000 0.000
```

The calculation puts the formation energy from raw total energies at -1.15 eV/atom. Its uncorrected energy is -0.178 hartree per atom. As for the symmetry: P-1 (2). The value obtained for the theoretical density is 2.8 g/cm³.

***

Look up the uncorrected energy of the eleventh one.
-0.183 hartree per atom

***

Among the records above, which one has the lowest uncorrected energy?
CeURu4

***

Look up the theoretical density of the eleventh one.
7.9 g/cm³

***

Which value of uncorrected energy does entry 2 give?
-0.338 hartree per atom